PBE CaZn2Cu5, optimized geometry; spin magnetization = 0.000 μB per atom; calculated total energy = -25.28 eV/cell; energy of formation from the pure elements = -0.03 eV per atom
1.0
-1.691 2.397 2.364
-1.382 -3.184 5.241
3.957 1.046 4.771
Ca Zn Cu
1 2 5
direct
0.000 0.000 0.000 Ca
0.749 0.751 0.751 Zn
0.251 0.249 0.249 Zn
0.000 0.500 0.500 Cu
0.630 0.554 0.185 Cu
0.370 0.446 0.815 Cu
0.370 0.815 0.446 Cu
0.630 0.185 0.554 Cu

---

PBE BeRu4, optimized geometry; relative energy among the computed polymorphs = 0.0000 eV per atom; spin magnetization = 0.000 μB per atom; calculated total energy = -40.26 eV/cell; energy of formation from the pure elements = 0.11 eV per atom
1.0
1.441 -2.801 -3.367
-2.816 -0.615 3.600
-2.607 2.872 -2.494
Be Ru
1 4
direct
0.000 0.000 0.000 Be
0.205 0.598 0.802 Ru
0.598 0.795 0.393 Ru
0.795 0.402 0.198 Ru
0.402 0.205 0.607 Ru

---

PBE YMgFe2, optimized geometry; spin magnetization = 0.942 μB per atom; calculated total energy = -24.30 eV/cell; energy of formation from the pure elements = 0.17 eV per atom
1.0
5.557 0.007 0.036
4.571 3.161 0.036
1.863 0.583 4.145
Fe Mg Y
2 1 1
direct
0.042 0.042 0.958 Fe
0.713 0.713 0.787 Fe
0.481 0.481 0.519 Mg
0.264 0.264 0.236 Y

---

PBE NaOsSN2, optimized geometry; relative energy among the computed polymorphs = 0.0000 eV per atom; spin magnetization = 0.000 μB per atom; calculated total energy = -32.03 eV/cell
1.0
-1.444 -3.530 -0.012
3.334 -1.377 3.703
-2.532 1.026 2.662
Na S Os N
1 1 1 2
direct
0.500 0.500 0.500 Na
0.000 0.500 0.000 S
0.000 0.000 0.000 Os
0.000 0.000 0.500 N
0.500 0.000 0.000 N

---

PBE DyHo3H, optimized geometry; spin magnetization = 0.000 μB per atom; calculated total energy = -22.50 eV/cell
1.0
-3.459 -1.806 3.062
-0.476 -3.998 -2.897
3.523 -2.314 2.615
H Ho Dy
1 3 1
direct
0.000 0.000 0.000 H
0.000 0.500 0.000 Ho
0.000 0.000 0.500 Ho
0.500 0.000 0.000 Ho
0.500 0.500 0.500 Dy

---

PBE NdZnGa, optimized geometry; spin magnetization = 0.000 μB per atom; calculated total energy = -10.67 eV/cell; energy of formation from the pure elements = -0.53 eV per atom
1.0
3.770 0.000 0.000
0.000 4.507 0.000
0.000 -2.253 3.903
Zn Nd Ga
1 1 1
direct
0.167 0.333 0.667 Zn
0.667 0.667 0.333 Nd
0.167 0.000 0.000 Ga

---

PBE UZnS, optimized geometry; spin magnetization = 0.827 μB per atom; calculated total energy = -37.36 eV/cell
1.0
3.811 0.000 0.000
0.000 3.811 0.000
0.000 0.000 8.391
Zn U S
2 2 2
direct
0.000 0.500 0.525 Zn
0.500 0.000 0.475 Zn
0.000 0.500 0.157 U
0.500 0.000 0.843 U
0.500 0.000 0.175 S
0.000 0.500 0.825 S

---

PBE NdZn2Ag3, optimized geometry; relative energy among the computed polymorphs = 0.0000 eV per atom; spin magnetization = 0.000 μB per atom; calculated total energy = -33.85 eV/cell; energy of formation from the pure elements = -0.18 eV per atom
1.0
-1.088 -0.222 5.262
4.944 -4.493 0.832
4.775 4.596 1.182
Nd Zn Ag
2 4 6
direct
0.750 0.673 0.327 Nd
0.250 0.327 0.673 Nd
0.500 0.236 0.236 Zn
0.000 0.236 0.236 Zn
0.000 0.764 0.764 Zn
0.500 0.764 0.764 Zn
0.250 0.551 0.094 Ag
0.250 0.906 0.449 Ag
0.750 0.449 0.906 Ag
0.250 0.963 0.037 Ag
0.750 0.037 0.963 Ag
0.750 0.094 0.551 Ag